A plane-wave DFT calculation with PBE-GGA was carried out for an optimized crystal structure of InGeCl4.

DFT total energy: -3.23 eV per atom
M_tot: 0.00 μB/cell
Formation energy from raw total energies: -0.776 eV per atom

a b c (Å): 7.644 7.270 7.069
angles (deg): 90.00 90.00 90.00
Positions (direct):
In 0.000 0.051 0.000
In 0.500 0.949 0.500
Ge 0.000 0.612 0.437
Ge 0.500 0.388 0.937
Cl 0.000 0.316 0.249
Cl 0.000 0.798 0.736
Cl 0.226 0.769 0.270
Cl 0.274 0.231 0.770
Cl 0.500 0.202 0.236
Cl 0.500 0.684 0.749
Cl 0.726 0.231 0.770
Cl 0.774 0.769 0.270